Compound: ZrTi2PdN
Source: Alexandria via LeMat-Bulk
Functional: PBE
Structure: relaxed

abc: 4.1159 4.1159 4.4779
angles: 90.00 90.00 90.00
Last column: nearest neighbours and their distance in Å.
Atoms (fractional coordinates):
N: 0.0000 0.0000 0.0000  4 Ti 2.06, 2 Zr 2.24
Zr: 0.0000 0.0000 0.5000  2 N 2.24
Pd: 0.5000 0.5000 0.5000  4 Zr 2.91, 8 Ti 3.04
Ti: 0.0000 0.5000 0.0000  2 N 2.06
Ti: 0.5000 0.0000 0.0000  2 N 2.06

**SG**: P4/mmm
**Total DFT energy (no corrections)**: -8.549 eV per atom